Record 1
VASP calculation (PBEsol) on an optimized crystal structure of LaMg2Cd.

Structure (POSCAR):
```
LaMg2Cd
1.0
-0.514 3.070 -1.259
-2.065 -1.294 -2.310
-6.822 1.104 5.479
Mg La Cd
2 1 1
Direct
0.000 0.000 0.028
0.500 0.500 0.263
0.500 0.500 0.738
0.000 0.000 0.470
```

As for the symmetry: P4mm, No. 99.

***

Record 2
VASP calculation (PBEsol) on an optimized crystal structure of Sr2CoRu.

Structure (POSCAR):
```
Sr2CoRu
1.0
3.357 0.000 0.000
0.000 3.357 0.000
0.000 0.000 8.758
Co Ru Sr
1 1 2
Direct
0.000 0.000 0.585
0.500 0.500 0.664
0.000 0.000 0.916
0.500 0.500 0.335
```

As for the symmetry: P4mm, No. 99.

***

Number 1: formation energy -148 meV per atom. Number 2: formation energy 464 meV per atom.